Compound: Ce5PrSe8
Source: Alexandria
Functional: GGA-PBE
Structure: optimized geometry

Unit cell a=7.737 b=7.737 c=7.737 alpha=109.51 beta=109.51 gamma=109.39
Positions (direct):
Ce 0.000 0.000 0.000
Ce 0.249 0.624 0.123
Ce 0.376 0.499 0.624
Ce 0.501 0.125 0.877
Ce 0.875 0.751 0.376
Pr 0.750 0.250 0.500
Se 0.125 0.724 0.750
Se 0.126 0.224 0.751
Se 0.276 0.026 0.401
Se 0.473 0.376 0.249
Se 0.624 0.874 0.097
Se 0.625 0.875 0.599
Se 0.776 0.527 0.903
Se 0.974 0.375 0.250

Summary:
energy relative to the elements, uncorrected: -1849 meV/atom
space group: No. 82
calculated volume: 25.47 Å³ per atom
spin magnetization: 7.0 μB per formula unit
final energy: -6.30 eV per atom